1) DFT (GGA-PBE) results for a relaxed structure of DyErThSc.

Unit cell a=3.5247 b=3.5247 c=33.1646 alpha=90.00 beta=90.00 gamma=120.00
Space group R3m (No. 160, hexagonal axes)
Symmetry-distinct sites (fractional):
Dy1 0.0000 0.0000 0.0000 x3
Er1 0.0000 0.0000 0.7534 x3
Th1 0.0000 0.0000 0.1711 x3
Sc1 0.0000 0.0000 0.5847 x3

Calculated values
The crystal system is trigonal.

=====

2) DFT (GGA-PBE) results for a relaxed structure of DyErThSc.

Unit cell a=7.816 b=7.816 c=7.816 alpha=90.00 beta=90.00 gamma=90.00
Space group F-43m (No. 216)
Symmetry-distinct sites (fractional):
Dy1 0.000 0.000 0.000 x4
Er1 0.250 0.250 0.750 x4
Th1 0.000 0.000 0.500 x4
Sc1 0.250 0.250 0.250 x4

Calculated values
The crystal system is cubic.

=====

1) comes first in stability; the runner-up is 7.9 kJ/mol of atoms higher.